[1]
The following is a PBE calculation of an optimized crystal structure of TiH2Rh, from the Alexandria database.

a b c (Å): 2.9842 2.9842 14.2447
angles (deg): 90.00 90.00 120.00
Last column: nearest neighbours and their distance in Å.
Element x y z (fractional)
Ti  0.0000  0.0000  0.0000  6 H 1.84
Ti  0.3333  0.6667  0.6667  6 H 1.84
Ti  0.6667  0.3333  0.3333  6 H 1.84
H  0.0000  0.0000  0.3792  1 Rh 1.72, 3 Ti 1.84
H  0.0000  0.0000  0.6208  1 Rh 1.72, 3 Ti 1.84
H  0.3333  0.6667  0.0459  1 Rh 1.72, 3 Ti 1.84
H  0.3333  0.6667  0.2874  1 Rh 1.72, 3 Ti 1.84
H  0.6667  0.3333  0.7126  1 Rh 1.72, 3 Ti 1.84
H  0.6667  0.3333  0.9541  1 Rh 1.72, 3 Ti 1.84
Rh  0.0000  0.0000  0.5000  2 H 1.72
Rh  0.3333  0.6667  0.1667  2 H 1.72
Rh  0.6667  0.3333  0.8333  2 H 1.72

Computed properties:
space-group type = R-3m
raw total energy = -5.8118 eV/atom
crystal system = trigonal
relative energy among the computed polymorphs = 0.00 eV/f.u.

---

[2]
The following is a PBE calculation of an optimized crystal structure of Pm5Sm4Sc3, from the Alexandria database.

a b c (Å): 8.4670 8.4670 9.4712
angles (deg): 115.95 115.95 40.22
Last column: nearest neighbours and their distance in Å.
Element x y z (fractional)
Pm  0.0000  0.0000  0.0000  2 Sc 2.91
Pm  0.0654  0.0654  0.7063  3 Pm 3.26-3.47, 1 Sc 3.48, 2 Sm 3.65
Pm  0.2797  0.2797  0.7427  4 Sc 3.12-3.32, 1 Pm 3.26, 2 Sm 3.38-3.41
Pm  0.7203  0.7203  0.2573  4 Sc 3.12-3.32, 1 Pm 3.26, 2 Sm 3.38-3.41
Pm  0.9346  0.9346  0.2937  3 Pm 3.26-3.47, 1 Sc 3.48, 2 Sm 3.65
Sm  0.2855  0.2855  0.1072  6 Pm 3.41-3.78, 3 Sm 3.43-3.62, 1 Sc 3.71
Sm  0.4068  0.4068  0.5397  3 Sc 3.33-3.42, 3 Pm 3.38-3.69, 2 Sm 3.38-3.62
Sm  0.5932  0.5932  0.4603  3 Sc 3.33-3.42, 3 Pm 3.38-3.69, 2 Sm 3.38-3.62
Sm  0.7145  0.7145  0.8928  6 Pm 3.41-3.78, 3 Sm 3.43-3.62, 1 Sc 3.71
Sc  0.1706  0.1706  0.3701  5 Pm 3.12-3.48, 3 Sm 3.33-3.42
Sc  0.5000  0.5000  0.0000  4 Pm 2.91-3.20
Sc  0.8294  0.8294  0.6299  5 Pm 3.12-3.48, 3 Sm 3.33-3.42

Computed properties:
space-group type = C2/m
raw total energy = -4.9155 eV/atom
energy relative to the elements = 5.069 kcal/mol of atoms
crystal system = monoclinic

---

raw total energy of number 1 (TiH2Rh)?
-5.8118 eV/atom